Record 1
First-principles (PBE-GGA) data for an optimized crystal structure of LiTbMg2Cd4, as listed in the Alexandria database.

The calculation puts the magnetic moment at 0.0 μB per formula unit. For the density of states at the Fermi level, the calculation gives 13.00 states/eV/cell. The raw total energy comes out at -1.908 eV/atom. The calculation puts the density at 6.24 Mg/m³.

The structure belongs to space group R-3m (No. 166, hexagonal axes); the cell edges are 4.9352, 4.9352 and 25.1368 Å and the angles 90.00°, 90.00° and 120.00°. The distinct sites, in fractional coordinates, are Li at (0.0000, 0.0000, 0.0000), Tb at (0.0000, 0.0000, 0.5000), Mg at (0.0000, 0.0000, 0.2494), Cd at (0.0000, 0.0000, 0.1151) and Cd at (0.0000, 0.0000, 0.3710).

Record 2
First-principles (PBE-GGA) data for an optimized crystal structure of Li2TbMgCd4, as listed in the Alexandria database.

The calculation puts the magnetic moment at 0.0 μB per formula unit. For the density of states at the Fermi level, the calculation gives 10.26 states/eV/cell. The raw total energy comes out at -1.919 eV/atom. The calculation puts the density at 6.12 Mg/m³.

The structure belongs to space group R-3m (No. 166, hexagonal axes); the cell edges are 4.8077, 4.8077 and 26.2807 Å and the angles 90.00°, 90.00° and 120.00°. The distinct sites, in fractional coordinates, are Li at (0.0000, 0.0000, 0.2431), Tb at (0.0000, 0.0000, 0.0000), Mg at (0.0000, 0.0000, 0.5000), Cd at (0.0000, 0.0000, 0.1233) and Cd at (0.0000, 0.0000, 0.3884).

Record 3
First-principles (PBE-GGA) data for an optimized crystal structure of Li2ThMgCd4, as listed in the Alexandria database.

The calculation puts the magnetic moment at 0.0 μB per formula unit. For the density of states at the Fermi level, the calculation gives 16.47 states/eV/cell. The raw total energy comes out at -2.189 eV/atom. The calculation puts the density at 6.63 Mg/m³.

The structure belongs to space group R-3m (No. 166, hexagonal axes); the cell edges are 4.7455, 4.7455 and 27.7203 Å and the angles 90.00°, 90.00° and 120.00°. The distinct sites, in fractional coordinates, are Li at (0.0000, 0.0000, 0.2390), Th at (0.0000, 0.0000, 0.0000), Mg at (0.0000, 0.0000, 0.5000), Cd at (0.0000, 0.0000, 0.1229) and Cd at (0.0000, 0.0000, 0.3948).

Record 4
First-principles (PBE-GGA) data for an optimized crystal structure of LiThMgCd, as listed in the Alexandria database.

The calculation puts the magnetic moment at 0.0 μB per formula unit. For the density of states at the Fermi level, the calculation gives 7.26 states/eV/cell. The raw total energy comes out at -2.979 eV/atom. The calculation puts the density at 6.50 Mg/m³.

The structure belongs to space group F-43m (No. 216); the cell edges are 7.270, 7.270 and 7.270 Å and the angles 90.00°, 90.00° and 90.00°. The distinct sites, in fractional coordinates, are Li at (0.000, 0.000, 0.000), Th at (0.250, 0.250, 0.750), Mg at (0.250, 0.250, 0.250) and Cd at (0.000, 0.000, 0.500).

Record 5
First-principles (PBE-GGA) data for an optimized crystal structure of LiMg2Tl5Cd, as listed in the Alexandria database.

The calculation puts the magnetic moment at 0.0 μB per formula unit. For the density of states at the Fermi level, the calculation gives 13.96 states/eV/cell. The raw total energy comes out at -2.012 eV/atom. The calculation puts the density at 8.44 Mg/m³.

The structure belongs to space group Cmc2_1 (No. 36); the cell edges are 3.408, 16.547 and 16.598 Å and the angles 90.00°, 90.00° and 90.00°. The distinct sites, in fractional coordinates, are Li at (0.000, 0.229, 0.000), Mg at (0.000, 0.082, 0.446), Mg at (0.000, 0.114, 0.767), Tl at (0.000, 0.061, 0.089), Tl at (0.000, 0.240, 0.349), Tl at (0.000, 0.281, 0.669), Tl at (0.000, 0.385, 0.103), Tl at (0.000, 0.448, 0.778) and Cd at (0.000, 0.419, 0.423).

Record 6
First-principles (PBE-GGA) data for an optimized crystal structure of LiMgTl2Cd, as listed in the Alexandria database.

The calculation puts the magnetic moment at 0.0 μB per formula unit. For the density of states at the Fermi level, the calculation gives 2.65 states/eV/cell. The raw total energy comes out at -1.645 eV/atom. The calculation puts the density at 6.85 Mg/m³.

The structure belongs to space group P4/mmm (No. 123); the cell edges are 5.107, 5.107 and 5.130 Å and the angles 90.00°, 90.00° and 90.00°. The distinct sites, in fractional coordinates, are Li at (0.000, 0.000, 0.000), Mg at (0.000, 0.000, 0.500), Tl at (0.000, 0.500, 0.000) and Cd at (0.500, 0.500, 0.500).

Record 7
First-principles (PBE-GGA) data for an optimized crystal structure of Li2MgTl2Cd5, as listed in the Alexandria database.

The calculation puts the magnetic moment at 0.0 μB per formula unit. For the density of states at the Fermi level, the calculation gives 6.37 states/eV/cell. The raw total energy comes out at -1.568 eV/atom. The calculation puts the density at 7.46 Mg/m³.

The structure belongs to space group P4/mbm (No. 127); the cell edges are 9.874, 9.874 and 4.607 Å and the angles 90.00°, 90.00° and 90.00°. The distinct sites, in fractional coordinates, are Li at (0.118, 0.382, 0.000), Mg at (0.000, 0.000, 0.000), Tl at (0.178, 0.678, 0.000), Cd at (0.000, 0.500, 0.500) and Cd at (0.074, 0.202, 0.500).

Record 8
First-principles (PBE-GGA) data for an optimized crystal structure of LiMgTlCd2, as listed in the Alexandria database.

The calculation puts the magnetic moment at 0.0 μB per formula unit. For the density of states at the Fermi level, the calculation gives 5.89 states/eV/cell. The raw total energy comes out at -1.556 eV/atom. The calculation puts the density at 6.23 Mg/m³.

The structure belongs to space group Cmcm (No. 63); the cell edges are 5.744, 14.897 and 5.734 Å and the angles 90.00°, 90.00° and 90.00°. The distinct sites, in fractional coordinates, are Li at (0.000, 0.150, 0.250), Mg at (0.000, 0.345, 0.250), Tl at (0.000, 0.251, 0.750) and Cd at (0.248, 0.000, 0.000).

Please write out number 6 again, unchanged.
First-principles (PBE-GGA) data for an optimized crystal structure of LiMgTl2Cd, as listed in the Alexandria database.

The calculation puts the magnetic moment at 0.0 μB per formula unit. For the density of states at the Fermi level, the calculation gives 2.65 states/eV/cell. The raw total energy comes out at -1.645 eV/atom. The calculation puts the density at 6.85 Mg/m³.

The structure belongs to space group P4/mmm (No. 123); the cell edges are 5.107, 5.107 and 5.130 Å and the angles 90.00°, 90.00° and 90.00°. The distinct sites, in fractional coordinates, are Li at (0.000, 0.000, 0.000), Mg at (0.000, 0.000, 0.500), Tl at (0.000, 0.500, 0.000) and Cd at (0.500, 0.500, 0.500).

What is the magnetic moment in the seventh record?
0.0 μB per formula unit

What is the formula in the second record?
Li2TbMgCd4